{"formula": "VPb2Se2ClO8", "functional": "PBE+U", "state": "relaxed", "volume_a3_per_cell": 465, "n_ef_per_ev_cell": 0.00, "e_tot_ev_per_atom": -5.75, "rho_g_cm3": 5.61, "total_magnetization_mub_per_cell": 0.0, "lattice_angstrom": [[-0.740, 5.289, 0.544], [-3.438, -1.278, 7.750], [7.497, 0.232, 7.949]], "species": ["O", "O", "Se", "O", "Pb", "O", "O", "Pb", "O", "O", "Pb", "O", "O", "O", "O", "Pb", "Cl", "Cl", "O", "O", "Se", "O", "Se", "V", "O", "O", "Se", "V"], "fractional_positions": [[0.229, 0.421, 0.669], [0.281, 0.528, 0.965], [0.477, 0.869, 0.807], [0.559, 0.324, 0.875], [0.938, 0.176, 0.809], [0.416, 0.331, 0.214], [0.210, 0.560, 0.369], [0.480, 0.303, 0.496], [0.699, 0.134, 0.110], [0.729, 0.579, 0.331], [0.980, 0.697, 0.504], [0.710, 0.440, 0.631], [0.199, 0.866, 0.890], [0.781, 0.472, 0.035], [0.916, 0.669, 0.786], [0.438, 0.824, 0.191], [0.494, 0.862, 0.453], [0.994, 0.138, 0.547], [0.028, 0.918, 0.258], [0.059, 0.676, 0.125], [0.488, 0.489, 0.729], [0.528, 0.082, 0.742], [0.988, 0.511, 0.271], [0.967, 0.649, 0.941], [0.698, 0.814, 0.939], [0.198, 0.186, 0.061], [0.977, 0.131, 0.193], [0.467, 0.351, 0.059]]}